Entry 1:
Entry from the Alexandria database: a relaxed structure of Ba12Tl3F5 (PBE-GGA).

Summary:
electronic total energy	-276.69	eV for the cell shown
volume	39.53	A^3/atom
SG	Ia-3d
D(E_F)	54.98	states/eV per cell

extended XYZ file:
```
80
Lattice="-9.246 9.246 9.246 9.246 -9.246 9.246 9.246 9.246 -9.246" Properties=species:S:1:pos:R:3 pbc="T T T"
Ba 2.824 -0.645 1.035
Ba 11.046 5.658 -5.268
Ba 12.070 0.645 1.035
Ba 11.046 -3.588 5.268
Ba 8.601 -1.035 2.824
Ba 14.515 -1.799 3.588
Ba 1.035 2.824 -0.645
Ba 12.835 3.978 -1.799
Ba 5.658 5.268 -1.799
Ba 8.212 2.824 0.645
Ba -0.645 1.035 2.824
Ba 5.268 -1.799 5.658
Ba 8.601 8.212 -2.824
Ba 5.268 1.799 3.588
Ba 5.658 -5.268 11.046
Ba 8.212 -2.824 8.601
Ba 3.588 5.268 1.799
Ba 10.281 6.422 0.645
Ba 5.268 11.046 -3.588
Ba 8.601 1.035 6.422
Ba 2.824 8.601 -1.035
Ba 11.046 3.588 3.978
Ba 1.799 3.588 5.268
Ba 2.824 0.645 8.212
Ba 6.422 8.601 1.035
Ba 7.447 5.658 3.978
Ba -1.799 5.658 5.268
Ba 6.422 0.645 10.281
Ba 0.645 8.212 2.824
Ba 3.978 -1.799 12.835
Ba -1.035 2.824 8.601
Ba 5.658 3.978 7.447
Ba 1.035 12.070 0.645
Ba 3.588 14.515 -1.799
Ba 3.978 7.447 5.658
Ba 0.645 1.035 12.070
Ba 3.978 11.046 3.588
Ba 9.891 8.212 6.422
Ba 1.035 6.422 8.601
Ba 3.588 3.978 11.046
Ba -3.588 5.268 11.046
Ba 8.212 6.422 9.891
Ba -5.268 11.046 5.658
Ba 0.645 10.281 6.422
Ba -1.799 12.835 3.978
Ba -2.824 8.601 8.212
Ba -1.799 3.588 14.515
Ba 6.422 9.891 8.212
Tl 4.623 2.312 0.000
Tl 9.246 4.623 -2.312
Tl 2.312 0.000 4.623
Tl 11.558 0.000 4.623
Tl 0.000 4.623 2.312
Tl 4.623 -2.312 9.246
Tl 4.623 11.558 0.000
Tl 9.246 4.623 6.935
Tl -2.312 9.246 4.623
Tl 6.935 9.246 4.623
Tl 0.000 4.623 11.558
Tl 4.623 6.935 9.246
F 0.000 0.000 0.000
F 4.623 4.623 -4.623
F 4.623 -4.623 4.623
F 9.246 0.000 0.000
F 13.869 2.312 0.000
F 9.246 -4.623 6.935
F 6.935 9.246 -4.623
F 6.935 0.000 4.623
F 4.623 6.935 0.000
F 9.246 4.623 2.312
F -4.623 4.623 4.623
F 0.000 9.246 0.000
F 0.000 0.000 9.246
F 4.623 4.623 4.623
F 0.000 4.623 6.935
F 4.623 2.312 9.246
F 2.312 9.246 4.623
F 2.312 0.000 13.869
F 0.000 13.869 2.312
F -4.623 6.935 9.246
```

=====

Entry 2:
Entry from the Alexandria database: a relaxed structure of Ho2PaIn (PBE-GGA).

Summary:
electronic total energy	-21.56	eV for the cell shown
ΔE_f	-0.0420	eV per atom
volume	26.73	A^3/atom
SG	P4/mmm
D(E_F)	4.24	states/eV per cell

extended XYZ file:
```
4
Lattice="4.842 0.000 0.000 0.000 4.842 0.000 0.000 0.000 4.560" Properties=species:S:1:pos:R:3 pbc="T T T"
Ho 0.000 2.421 0.000
Ho 2.421 0.000 0.000
Pa 0.000 0.000 2.280
In 2.421 2.421 2.280
```

=====

Entry 3:
Entry from the Alexandria database: a relaxed structure of Zn2Cu6Pt (PBE-GGA).

Summary:
electronic total energy	-33.82	eV for the cell shown
ΔE_f	-0.0727	eV per atom
volume	12.94	A^3/atom
SG	C2/m
D(E_F)	2.46	states/eV per cell

extended XYZ file:
```
9
Lattice="3.514 -2.166 0.000 3.514 2.166 0.000 -0.721 0.000 7.652" Properties=species:S:1:pos:R:3 pbc="T T T"
Zn 0.848 0.000 3.385
Zn 5.460 0.000 4.266
Cu 0.601 0.000 5.991
Cu 1.090 0.000 0.900
Cu 3.033 0.000 5.077
Cu 3.275 0.000 2.575
Cu 5.218 0.000 6.752
Cu 5.707 0.000 1.661
Pt 3.514 0.000 0.000
```

=====

Q: Look up the volume of the third one.
A: 12.94 A^3/atom

=====

Q: Number 3 is which compound?
A: Zn2Cu6Pt

=====

Q: The highest electronic total energy belongs to which entry?
A: Ho2PaIn

=====

Q: What is the D(E_F) in the third record?
A: 2.46 states/eV per cell